(1)
Material: Rb3HfRu
Method: DFT, PBE-GGA
State: optimized geometry

Calculated values
E above lowest polymorph = 0 meV per atom
E_form = 191.4 kJ per mole of atoms
Electronic total energy = -0.180 Ry per atom
Space group = Pm-3m, No. 221

Unit cell a=6.0466 b=6.0466 c=6.0466 alpha=90.00 beta=90.00 gamma=90.00
Last column: nearest neighbours and their distance in Å.
Positions (direct):
Rb  0.0000  0.0000  0.5000  2 Ru 3.02
Rb  0.0000  0.5000  0.0000  2 Ru 3.02
Rb  0.5000  0.0000  0.0000  2 Ru 3.02
Hf  0.5000  0.5000  0.5000  12 Rb 4.28
Ru  0.0000  0.0000  0.0000  6 Rb 3.02


(2)
Material: Rb3Np2RhS6
Method: DFT, PBE-GGA
State: optimized geometry

Calculated values
Formation energy (no corrections) = -13.1 eV/f.u.
Electronic total energy = -0.453 Ry per atom
Space group = C2/m, No. 12

Unit cell a=6.8065 b=6.8065 c=8.0213 alpha=98.14 beta=98.14 gamma=120.00
Last column: nearest neighbours and their distance in Å.
Positions (direct):
Rb  0.0000  0.0000  0.0000  6 S 3.28-3.38
Rb  0.3329  0.6671  0.0000  6 S 3.28-3.38
Rb  0.6671  0.3329  0.0000  6 S 3.28-3.38
Np  0.1666  0.8334  0.5000  6 S 2.73
Np  0.8334  0.1666  0.5000  6 S 2.73
Rh  0.5000  0.5000  0.5000  6 S 2.60
S  0.1189  0.4379  0.3139  1 Rh 2.60, 2 Np 2.73
S  0.2431  0.2431  0.6865  1 Rh 2.60, 2 Np 2.73
S  0.4379  0.1189  0.3139  1 Rh 2.60, 2 Np 2.73
S  0.5621  0.8811  0.6861  1 Rh 2.60, 2 Np 2.73
S  0.7569  0.7569  0.3135  1 Rh 2.60, 2 Np 2.73
S  0.8811  0.5621  0.6861  1 Rh 2.60, 2 Np 2.73


(3)
Material: Ac5DyPb4
Method: DFT, PBE-GGA
State: optimized geometry

Calculated values
E_form = -32.8 kJ per mole of atoms
Electronic total energy = -0.319 Ry per atom
Space group = C2/m, No. 12

Unit cell a=9.3652 b=9.3652 c=7.7884 alpha=91.32 beta=91.32 gamma=35.22
Last column: nearest neighbours and their distance in Å.
Positions (direct):
Ac  0.0000  0.0000  0.0000  6 Pb 3.51-3.68, 2 Dy 3.89
Ac  0.3336  0.3336  0.4956  5 Pb 3.37-3.61
Ac  0.3351  0.3351  0.9982  5 Pb 3.46-3.66, 1 Ac 3.87
Ac  0.6649  0.6649  0.0018  5 Pb 3.46-3.66, 1 Ac 3.87
Ac  0.6664  0.6664  0.5044  5 Pb 3.37-3.61
Dy  0.0000  0.0000  0.5000  6 Pb 3.38-3.57
Pb  0.1711  0.1711  0.7465  7 Ac 3.40-3.68, 1 Dy 3.57
Pb  0.4931  0.4931  0.7350  6 Ac 3.37-3.66, 2 Dy 3.38, 1 Pb 3.68
Pb  0.5069  0.5069  0.2650  6 Ac 3.37-3.66, 2 Dy 3.38, 1 Pb 3.68
Pb  0.8289  0.8289  0.2535  7 Ac 3.40-3.68, 1 Dy 3.57


(4)
Material: PrUOs2
Method: DFT, PBE-GGA
State: optimized geometry

Calculated values
E_form = -3.7 kJ per mole of atoms
Electronic total energy = -0.711 Ry per atom
Space group = Pmmn, No. 59

Unit cell a=4.3829 b=7.0346 c=5.9244 alpha=90.00 beta=90.00 gamma=90.00
Last column: nearest neighbours and their distance in Å.
Positions (direct):
Pr  0.2500  0.2500  0.1526  8 Os 3.24-3.30
Pr  0.7500  0.7500  0.8474  8 Os 3.24-3.30
U  0.2500  0.7500  0.3393  6 Os 2.61-2.80
U  0.7500  0.2500  0.6607  6 Os 2.61-2.80
Os  0.2500  0.0477  0.6543  3 U 2.61-2.80, 1 Os 2.85
Os  0.2500  0.4523  0.6543  3 U 2.61-2.80, 1 Os 2.85
Os  0.7500  0.5477  0.3457  3 U 2.61-2.80, 1 Os 2.85
Os  0.7500  0.9523  0.3457  3 U 2.61-2.80, 1 Os 2.85


(5)
Material: EuDyNiRh
Method: DFT, PBE-GGA
State: optimized geometry

Calculated values
E_form = -37.2 kJ per mole of atoms
Electronic total energy = -0.543 Ry per atom
Space group = F-43m, No. 216

Unit cell a=4.8819 b=4.8819 c=4.8819 alpha=60.00 beta=60.00 gamma=60.00
Last column: nearest neighbours and their distance in Å.
Positions (direct):
Eu  0.0000  0.0000  0.0000  4 Rh 2.99, 4 Ni 2.99
Dy  0.5000  0.5000  0.5000  4 Rh 2.99, 4 Ni 2.99
Ni  0.2500  0.2500  0.2500  4 Dy 2.99, 4 Eu 2.99
Rh  0.7500  0.7500  0.7500  4 Eu 2.99, 4 Dy 2.99


(6)
Material: Nb5Mo4Os
Method: DFT, PBE-GGA
State: optimized geometry

Calculated values
E_form = -16.4 kJ per mole of atoms
Electronic total energy = -0.784 Ry per atom
Space group = P4/mmm, No. 123

Unit cell a=3.2227 b=3.2227 c=16.1501 alpha=90.00 beta=90.00 gamma=90.00
Last column: nearest neighbours and their distance in Å.
Positions (direct):
Nb  0.0000  0.0000  0.0000  8 Mo 2.79
Nb  0.0000  0.0000  0.2012  8 Mo 2.79-2.80
Nb  0.0000  0.0000  0.3996  4 Mo 2.78, 4 Os 2.80
Nb  0.0000  0.0000  0.6004  4 Mo 2.78, 4 Os 2.80
Nb  0.0000  0.0000  0.7988  8 Mo 2.79-2.80
Mo  0.5000  0.5000  0.1000  8 Nb 2.79-2.80
Mo  0.5000  0.5000  0.3014  8 Nb 2.78-2.79
Mo  0.5000  0.5000  0.6986  8 Nb 2.78-2.79
Mo  0.5000  0.5000  0.9000  8 Nb 2.79-2.80
Os  0.5000  0.5000  0.5000  8 Nb 2.80


(7)
Material: Ba2Sn2O5
Method: DFT, PBE-GGA
State: optimized geometry

Calculated values
Formation energy (no corrections) = -18.0 eV/f.u.
Electronic total energy = -0.446 Ry per atom
Space group = P4/mmm, No. 123

Unit cell a=4.3448 b=4.3448 c=7.9638 alpha=90.00 beta=90.00 gamma=90.00
Last column: nearest neighbours and their distance in Å.
Positions (direct):
Ba  0.0000  0.0000  0.0000  8 O 2.87
Ba  0.0000  0.0000  0.5000  12 O 3.02-3.07
Sn  0.5000  0.5000  0.2390  5 O 2.08-2.17
Sn  0.5000  0.5000  0.7610  5 O 2.08-2.17
O  0.0000  0.5000  0.2358  2 Sn 2.17
O  0.0000  0.5000  0.7642  2 Sn 2.17
O  0.5000  0.0000  0.2358  2 Sn 2.17
O  0.5000  0.0000  0.7642  2 Sn 2.17
O  0.5000  0.5000  0.5000  2 Sn 2.08


(8)
Material: Nd4AlTl3
Method: DFT, PBE-GGA
State: optimized geometry

Calculated values
E_form = -36.6 kJ per mole of atoms
Electronic total energy = -0.303 Ry per atom
Space group = P4/mmm, No. 123

Unit cell a=3.8378 b=3.8378 c=15.6973 alpha=90.00 beta=90.00 gamma=90.00
Last column: nearest neighbours and their distance in Å.
Positions (direct):
Nd  0.0000  0.0000  0.1152  4 Al 3.26, 4 Tl 3.38, 1 Nd 3.62
Nd  0.0000  0.0000  0.3711  8 Tl 3.37-3.38
Nd  0.0000  0.0000  0.6289  8 Tl 3.37-3.38
Nd  0.0000  0.0000  0.8848  4 Al 3.26, 4 Tl 3.38, 1 Nd 3.62
Al  0.5000  0.5000  0.0000  8 Nd 3.26
Tl  0.5000  0.5000  0.2436  8 Nd 3.37-3.38
Tl  0.5000  0.5000  0.5000  8 Nd 3.38
Tl  0.5000  0.5000  0.7564  8 Nd 3.37-3.38


(9)
Material: LaMnTe2
Method: DFT, PBE-GGA
State: optimized geometry

Calculated values
Formation energy (no corrections) = -3.2 eV/f.u.
E above lowest polymorph = 0 meV per atom
Electronic total energy = -0.434 Ry per atom
Space group = Amm2, No. 38

Unit cell a=4.3992 b=6.7021 c=6.7021 alpha=36.94 beta=90.00 gamma=90.00
Last column: nearest neighbours and their distance in Å.
Positions (direct):
La  0.0000  0.0000  0.0000  6 Te 3.18-3.33, 2 Mn 3.53
Mn  0.5000  0.7826  0.7826  1 Te 2.71
Te  0.0000  0.2986  0.2986  4 Mn 3.06, 2 La 3.33
Te  0.5000  0.5691  0.5691  1 Mn 2.71


(10)
Material: LaFeTcP2
Method: DFT, PBE-GGA
State: optimized geometry

Calculated values
E_form = -89.2 kJ per mole of atoms
Electronic total energy = -0.576 Ry per atom
Space group = I-4m2, No. 119

Unit cell a=6.0248 b=6.0248 c=6.0248 alpha=141.16 beta=141.16 gamma=56.10
Last column: nearest neighbours and their distance in Å.
Positions (direct):
La  0.0000  0.0000  0.0000  8 P 3.23, 4 Fe 3.33, 4 Tc 3.33
Fe  0.7500  0.2500  0.5000  4 P 2.29
Tc  0.2500  0.7500  0.5000  4 P 2.29
P  0.3546  0.3546  0.0000  2 Fe 2.29, 2 Tc 2.29
P  0.6454  0.6454  0.0000  2 Fe 2.29, 2 Tc 2.29


(11)
Material: Pr6SmHo2Sc
Method: DFT, PBE-GGA
State: optimized geometry

Calculated values
E_form = 22.3 kJ per mole of atoms
Electronic total energy = -0.342 Ry per atom
Space group = C2/m, No. 12

Unit cell a=6.7541 b=6.7541 c=8.8426 alpha=100.78 beta=100.78 gamma=62.16
Last column: nearest neighbours and their distance in Å.
Positions (direct):
Pr  0.0951  0.5846  0.1998  2 Ho 3.31-3.48, 1 Sc 3.34, 1 Sm 3.35, 3 Pr 3.41-3.69
Pr  0.1279  0.1279  0.4009  1 Sc 3.53, 7 Pr 3.74-3.90
Pr  0.4154  0.9049  0.8002  2 Ho 3.31-3.48, 1 Sc 3.34, 1 Sm 3.35, 3 Pr 3.41-3.69
Pr  0.5846  0.0951  0.1998  2 Ho 3.31-3.48, 1 Sc 3.34, 1 Sm 3.35, 3 Pr 3.41-3.69
Pr  0.8721  0.8721  0.5991  1 Sc 3.53, 7 Pr 3.74-3.90
Pr  0.9049  0.4154  0.8002  2 Ho 3.31-3.48, 1 Sc 3.34, 1 Sm 3.35, 3 Pr 3.41-3.69
Sm  0.5000  0.5000  0.5000  4 Pr 3.35, 2 Ho 3.42
Ho  0.4064  0.4064  0.8409  1 Ho 3.15, 4 Pr 3.31-3.48, 1 Sm 3.42
Ho  0.5936  0.5936  0.1591  1 Ho 3.15, 4 Pr 3.31-3.48, 1 Sm 3.42
Sc  0.0000  0.0000  0.0000  6 Pr 3.34-3.53


(12)
Material: Li2AcSbN
Method: DFT, PBE-GGA
State: optimized geometry

Calculated values
Formation energy (no corrections) = -3.8 eV/f.u.
Electronic total energy = -0.355 Ry per atom
Space group = Cmcm, No. 63

Unit cell a=7.1165 b=7.1165 c=7.7529 alpha=90.00 beta=90.00 gamma=149.77
Last column: nearest neighbours and their distance in Å.
Positions (direct):
Li  0.1430  0.8570  0.5445  1 N 1.99
Li  0.1430  0.8570  0.9555  1 N 1.99
Li  0.8570  0.1430  0.0445  1 N 1.99
Li  0.8570  0.1430  0.4555  1 N 1.99
Ac  0.4696  0.5304  0.7500  4 N 2.72
Ac  0.5304  0.4696  0.2500  4 N 2.72
Sb  0.2600  0.7400  0.2500  6 Li 2.79
Sb  0.7400  0.2600  0.7500  6 Li 2.79
N  0.0000  0.0000  0.0000  2 Li 1.99
N  0.0000  0.0000  0.5000  2 Li 1.99